# TmCr2PO8

Crystalline TmCr2PO8 at its relaxed geometry (PBE+U, Alexandria).

```
TmCr2PO8
1.0
4.5305 0.0901 -0.0024
0.1337 4.5262 -0.0053
0.0026 0.0080 6.1326
O Tm Cr P
8 1 2 1
direct
0.1850 0.8138 0.8016
0.7168 0.7181 0.0000
0.8150 0.1862 0.1984
0.6736 0.6755 0.5000
0.3264 0.3245 0.5000
0.1850 0.8138 0.1984
0.8150 0.1862 0.8016
0.2832 0.2819 0.0000
0.0000 0.0000 0.5000
0.5000 0.5000 0.2408
0.5000 0.5000 0.7592
0.0000 0.0000 0.0000
```

## Properties
Space-group type: P2/m
E_tot: -7.35 eV/atom
Magnetization: 3.99 μB per cell